(1)
First-principles (GGA-PBE) data for Th2PtPb after structural relaxation, as listed in Alexandria.

The structure belongs to space group R-3m (No. 166, hexagonal axes); the cell edges are 4.2586, 4.2586 and 23.0627 Å and the angles 90.00°, 90.00° and 120.00°. The asymmetric unit holds Th at (0.0000, 0.0000, 0.2374), Pt at (0.0000, 0.0000, 0.5000) and Pb at (0.0000, 0.0000, 0.0000).

Its density of states at the Fermi level is 14.1 states/eV/cell. The crystal system is trigonal. For the formation energy, the calculation gives -650 meV/atom.


(2)
First-principles (GGA-PBE) data for Ti2PtPb2 after structural relaxation, as listed in Alexandria.

The structure belongs to space group P4/mbm (No. 127); the cell edges are 6.782, 6.782 and 4.638 Å and the angles 90.00°, 90.00° and 90.00°. The asymmetric unit holds Ti at (0.149, 0.351, 0.000), Pt at (0.000, 0.000, 0.000) and Pb at (0.169, 0.669, 0.500).

Its density of states at the Fermi level is 7.7 states/eV/cell. The crystal system is tetragonal. For the formation energy, the calculation gives -58 meV/atom.